# Sm12Co6Te GGA-PBE relaxed
data_Sm12Co6Te
_chemical_formula_sum 'Sm24 Co12 Te2'
_cell_length_a 9.928
_cell_length_b 9.928
_cell_length_c 9.928
_cell_angle_alpha 90.00
_cell_angle_beta 90.00
_cell_angle_gamma 90.00
_symmetry_space_group_name_H-M 'I m -3'
_symmetry_Int_Tables_number 204
_symmetry_space_group_name_Hall '-I 2 2 3'
loop_
_atom_site_label
_atom_site_fract_x
_atom_site_fract_y
_atom_site_fract_z
Sm1 0.000 0.308 0.196
Co1 0.000 0.111 0.500
Te1 0.000 0.000 0.000
# E_form (uncorrected) in kcal/mol of atoms: -5.59
# Electronic total energy in eV/atom: -5.63
# ρ in Mg/m³: 7.76

---

# Sm4CoTe GGA-PBE relaxed
data_Sm4CoTe
_chemical_formula_sum 'Sm16 Co4 Te4'
_cell_length_a 19.117
_cell_length_b 5.391
_cell_length_c 9.709
_cell_angle_alpha 90.00
_cell_angle_beta 114.55
_cell_angle_gamma 90.00
_symmetry_space_group_name_H-M 'C 1 2/m 1'
_symmetry_Int_Tables_number 12
_symmetry_space_group_name_Hall '-C 2y'
loop_
_atom_site_label
_atom_site_fract_x
_atom_site_fract_y
_atom_site_fract_z
Sm1 0.028 0.000 0.203
Sm2 0.106 0.500 0.032
Sm3 0.194 0.000 0.897
Sm4 0.246 0.000 0.319
Co1 0.114 0.000 0.057
Te1 0.163 0.000 0.547
# E above lowest polymorph in meV/atom: 231
# E_form (uncorrected) in kcal/mol of atoms: -6.64
# Electronic total energy in eV/atom: -5.14
# ρ in Mg/m³: 5.75

---

# Sm7Co2Te2 GGA-PBE relaxed
data_Sm7Co2Te2
_chemical_formula_sum 'Sm14 Co4 Te4'
_cell_length_a 3.916
_cell_length_b 16.112
_cell_length_c 9.700
_cell_angle_alpha 90.00
_cell_angle_beta 90.00
_cell_angle_gamma 90.00
_symmetry_space_group_name_H-M 'I m m 2'
_symmetry_Int_Tables_number 44
_symmetry_space_group_name_Hall 'I 2 -2'
loop_
_atom_site_label
_atom_site_fract_x
_atom_site_fract_y
_atom_site_fract_z
Sm1 0.000 0.000 0.000
Sm2 0.000 0.133 0.418
Sm3 0.000 0.316 0.618
Sm4 0.000 0.351 0.267
Co1 0.000 0.237 0.932
Te1 0.000 0.000 0.667
Te2 0.000 0.500 0.765
# E_form (uncorrected) in kcal/mol of atoms: -12.97
# Electronic total energy in eV/atom: -5.43
# ρ in Mg/m³: 7.74

---

# Sm3Co5Te12 GGA-PBE relaxed
data_Sm3Co5Te12
_chemical_formula_sum 'Sm24 Co40 Te96'
_cell_length_a 16.389
_cell_length_b 16.389
_cell_length_c 16.389
_cell_angle_alpha 90.00
_cell_angle_beta 90.00
_cell_angle_gamma 90.00
_symmetry_space_group_name_H-M 'I a -3 d'
_symmetry_Int_Tables_number 230
_symmetry_space_group_name_Hall '-I 4bd 2c 3'
loop_
_atom_site_label
_atom_site_fract_x
_atom_site_fract_y
_atom_site_fract_z
Sm1 0.000 0.250 0.125
Co1 0.000 0.000 0.000
Co2 0.000 0.250 0.375
Te1 0.033 0.056 0.645
# E_form (uncorrected) in kcal/mol of atoms: -9.91
# Electronic total energy in eV/atom: -4.80
# ρ in Mg/m³: 6.87

---

# Sm6CoTe4 GGA-PBE relaxed
data_Sm6CoTe4
_chemical_formula_sum 'Sm36 Co6 Te24'
_cell_length_a 12.1369
_cell_length_b 12.1369
_cell_length_c 15.3042
_cell_angle_alpha 90.00
_cell_angle_beta 90.00
_cell_angle_gamma 120.00
_symmetry_space_group_name_H-M 'R -3 c'
_symmetry_Int_Tables_number 167
_symmetry_space_group_name_Hall '-R 3 2"c'
loop_
_atom_site_label
_atom_site_fract_x
_atom_site_fract_y
_atom_site_fract_z
Sm1 0.0316 0.1914 0.3992
Co1 0.0000 0.0000 0.0000
Te1 0.0000 0.0000 0.2500
Te2 0.0000 0.3780 0.2500
# E_form (uncorrected) in kcal/mol of atoms: -22.58
# Electronic total energy in eV/atom: -5.34
# ρ in Mg/m³: 7.51

---

# Sm4CoTe GGA-PBE relaxed
data_Sm4CoTe
_chemical_formula_sum 'Sm16 Co4 Te4'
_cell_length_a 8.457
_cell_length_b 3.927
_cell_length_c 19.789
_cell_angle_alpha 90.00
_cell_angle_beta 90.00
_cell_angle_gamma 90.00
_symmetry_space_group_name_H-M 'P n m a'
_symmetry_Int_Tables_number 62
_symmetry_space_group_name_Hall '-P 2ac 2n'
loop_
_atom_site_label
_atom_site_fract_x
_atom_site_fract_y
_atom_site_fract_z
Sm1 0.026 0.250 0.068
Sm2 0.044 0.750 0.219
Sm3 0.134 0.750 0.647
Sm4 0.146 0.750 0.453
Co1 0.225 0.250 0.553
Te1 0.249 0.250 0.314
# E above lowest polymorph in meV/atom: 0
# E_form (uncorrected) in kcal/mol of atoms: -11.96
# Electronic total energy in eV/atom: -5.37
# ρ in Mg/m³: 7.96

---

Which formula does entry 6 have?
Sm4CoTe